VASP calculation (GGA-PBE) on an optimized crystal structure of Er6Cd5Au.

Results
DFT formation energy ... -0.40 eV per atom
Calculated density ... 9.7 g cm⁻³
SG ... No. 10
Electronic total energy ... -0.2455 Ry per atom
Crystal system ... monoclinic

a b c (Å): 5.206 7.369 8.237
angles (deg): 90.00 71.81 90.00
Atoms (fractional coordinates):
1 Au 0.000 0.000 0.000
2 Cd 0.327 0.000 0.347
3 Cd 0.673 0.000 0.653
4 Cd 0.331 0.500 0.339
5 Cd 0.669 0.500 0.661
6 Cd 0.000 0.500 0.000
7 Er 0.839 0.754 0.323
8 Er 0.500 0.760 0.000
9 Er 0.161 0.246 0.677
10 Er 0.839 0.246 0.323
11 Er 0.161 0.754 0.677
12 Er 0.500 0.240 0.000